A geometry-optimized NaCrPbF6 structure, computed with PBE+U.

Cell lengths 5.652, 5.652, 10.167 Å; angles 90.00, 90.00, 120.00 degrees
Site moments in Bohr magnetons follow the coordinates.
Element x y z (fractional)
Na  0.667  0.333  0.750  0.00
Na  0.333  0.667  0.250  0.00
Pb  0.000  0.000  0.000  0.00
Pb  0.000  0.000  0.500  0.00
F  0.663  0.046  0.359  0.00
F  0.046  0.383  0.641  0.00
F  0.046  0.663  0.859  0.00
F  0.337  0.383  0.859  0.00
F  0.617  0.954  0.859  0.00
F  0.954  0.337  0.141  0.00
F  0.663  0.617  0.141  0.00
F  0.617  0.663  0.641  0.00
F  0.383  0.337  0.359  0.00
F  0.383  0.046  0.141  0.00
F  0.337  0.954  0.641  0.00
F  0.954  0.617  0.359  0.00
Cr  0.333  0.667  0.750  2.94
Cr  0.667  0.333  0.250  2.94

Properties
Energy, eV/atom: -5.32